VASP calculation (GGA+U) on crystalline HoGaFeO4 at its relaxed geometry.

a b c (Å): 6.2642 6.2642 6.2642
angles (deg): 121.06 117.86 90.96
Atoms (fractional coordinates):
Ho: 0.0000 0.0000 0.0000
Ho: 0.5000 0.0000 0.5000
Ga: 0.3747 0.6247 0.7500
Ga: 0.6253 0.3753 0.2500
Fe: 0.0000 0.0000 0.5000
Fe: 0.0000 0.5000 0.0000
O: 0.2438 0.7433 0.5005
O: 0.2467 0.2483 0.5016
O: 0.2467 0.7451 0.9984
O: 0.2571 0.2567 0.0005
O: 0.7429 0.7433 0.9995
O: 0.7533 0.2549 0.0016
O: 0.7533 0.7517 0.4984
O: 0.7562 0.2567 0.4995

Raw total energy: -7.01 eV/atom